No. 1
Density functional theory data (PBE-GGA) for crystalline KLa2Cl at its relaxed geometry.

The structure belongs to space group Cm (No. 8); the cell edges are 12.4946, 3.6944 and 7.9074 Å and the angles 90.00°, 111.40° and 90.00°. The distinct sites, in fractional coordinates, are K at (0.0000, 0.0000, 0.0000), La at (0.0955, 0.5000, 0.5254), La at (0.3376, 0.5000, 0.4240) and Cl at (0.2961, 0.0000, 0.7139).

The calculation puts the formation energy (no corrections) at -1.7 eV/f.u. As for the offset from the most stable computed form: 0.274 eV per atom. The calculation puts the total energy at -3.614 eV/atom.



No. 2
Density functional theory data (PBE-GGA) for crystalline KLa2Cl at its relaxed geometry.

The structure belongs to space group I-42d (No. 122); the cell edges are 9.7656, 9.7656 and 6.4912 Å and the angles 90.00°, 90.00° and 90.00°. The distinct sites, in fractional coordinates, are K at (0.0000, 0.0000, 0.0000), La at (0.1454, 0.7500, 0.6250) and Cl at (0.0000, 0.0000, 0.5000).

The calculation puts the formation energy (no corrections) at -1.3 eV/f.u. As for the offset from the most stable computed form: 0.355 eV per atom. The calculation puts the total energy at -3.534 eV/atom.



No. 3
Density functional theory data (PBE-GGA) for crystalline KLa2Cl at its relaxed geometry.

The structure belongs to space group Cmm2 (No. 35); the cell edges are 4.0805, 6.4314 and 11.1068 Å and the angles 90.00°, 90.00° and 90.00°. The distinct sites, in fractional coordinates, are K at (0.0000, 0.0000, 0.0000), La at (0.0000, 0.0000, 0.5877), La at (0.0000, 0.5000, 0.3369) and Cl at (0.0000, 0.5000, 0.7882).

The calculation puts the formation energy (no corrections) at -2.8 eV/f.u. As for the offset from the most stable computed form: 0.000 eV per atom. The calculation puts the total energy at -3.888 eV/atom.



No. 4
Density functional theory data (PBE-GGA) for crystalline KLiLa2Cl8 at its relaxed geometry.

The structure belongs to space group P2/m (No. 10); the cell edges are 6.6956, 8.7982 and 6.7173 Å and the angles 90.00°, 95.66° and 90.00°. The distinct sites, in fractional coordinates, are K at (0.0000, 0.0000, 0.0000), Li at (0.0000, 0.5000, 0.0000), La at (0.5000, 0.2578, 0.5000), Cl at (0.2007, 0.2864, 0.1944), Cl at (0.3094, 0.5000, 0.6847) and Cl at (0.3187, 0.0000, 0.6719).

The calculation puts the formation energy (no corrections) at -26.2 eV/f.u. The calculation puts the total energy at -4.490 eV/atom.



No. 5
Density functional theory data (PBE-GGA) for crystalline KLaMgCl2 at its relaxed geometry.

The structure belongs to space group P4/mmm (No. 123); the cell edges are 5.4787, 5.4787 and 6.7860 Å and the angles 90.00°, 90.00° and 90.00°. The distinct sites, in fractional coordinates, are K at (0.0000, 0.0000, 0.0000), La at (0.0000, 0.0000, 0.5000), Mg at (0.5000, 0.5000, 0.5000) and Cl at (0.0000, 0.5000, 0.0000).

The calculation puts the formation energy (no corrections) at -1.1 eV/f.u. The calculation puts the total energy at -2.487 eV/atom.



No. 6
Density functional theory data (PBE-GGA) for crystalline KLaMgCl6 at its relaxed geometry.

The structure belongs to space group P-31c (No. 163); the cell edges are 7.0136, 7.0136 and 13.5445 Å and the angles 90.00°, 90.00° and 120.00°. The distinct sites, in fractional coordinates, are K at (0.0000, 0.0000, 0.0000), La at (0.3333, 0.6667, 0.2500), Mg at (0.3333, 0.6667, 0.7500) and Cl at (0.0282, 0.3823, 0.6410).

The calculation puts the formation energy (no corrections) at -19.1 eV/f.u. The calculation puts the total energy at -4.201 eV/atom.



No. 7
Density functional theory data (PBE-GGA) for crystalline KLaP2Cl at its relaxed geometry.

The structure belongs to space group P4/mmm (No. 123); the cell edges are 5.1582, 5.1582 and 5.2477 Å and the angles 90.00°, 90.00° and 90.00°. The distinct sites, in fractional coordinates, are K at (0.0000, 0.0000, 0.0000), La at (0.5000, 0.5000, 0.5000), P at (0.0000, 0.5000, 0.0000) and Cl at (0.0000, 0.0000, 0.5000).

The calculation puts the formation energy (no corrections) at 0.8 eV/f.u. As for the offset from the most stable computed form: 0.688 eV per atom. The calculation puts the total energy at -3.580 eV/atom.



No. 8
Density functional theory data (PBE-GGA) for crystalline KLaP2Cl at its relaxed geometry.

The structure belongs to space group P4/mmm (No. 123); the cell edges are 5.6147, 5.6147 and 5.7154 Å and the angles 90.00°, 90.00° and 90.00°. The distinct sites, in fractional coordinates, are K at (0.0000, 0.0000, 0.0000), La at (0.5000, 0.5000, 0.5000), P at (0.0000, 0.5000, 0.5000) and Cl at (0.5000, 0.5000, 0.0000).

The calculation puts the formation energy (no corrections) at -2.6 eV/f.u. As for the offset from the most stable computed form: 0.000 eV per atom. The calculation puts the total energy at -4.268 eV/atom.



No. 9
Density functional theory data (PBE-GGA) for crystalline KLaPbCl6 at its relaxed geometry.

The structure belongs to space group P4_2nm (No. 102); the cell edges are 6.8847, 6.8847 and 13.4987 Å and the angles 90.00°, 90.00° and 90.00°. The distinct sites, in fractional coordinates, are K at (0.0000, 0.0000, 0.0000), La at (0.0000, 0.0000, 0.6658), Pb at (0.0000, 0.0000, 0.3318), Cl at (0.1816, 0.1816, 0.5040), Cl at (0.1999, 0.1999, 0.8154) and Cl at (0.2117, 0.2117, 0.1767).

The calculation puts the formation energy (no corrections) at -17.0 eV/f.u. The calculation puts the total energy at -4.201 eV/atom.



No. 10
Density functional theory data (PBE-GGA) for crystalline KLaPb2Cl8 at its relaxed geometry.

The structure belongs to space group P2/m (No. 10); the cell edges are 6.6858, 9.0193 and 6.9152 Å and the angles 90.00°, 90.69° and 90.00°. The distinct sites, in fractional coordinates, are K at (0.0000, 0.0000, 0.0000), La at (0.0000, 0.5000, 0.0000), Pb at (0.5000, 0.2442, 0.5000), Cl at (0.2310, 0.2740, 0.1656), Cl at (0.2591, 0.5000, 0.6790) and Cl at (0.2821, 0.0000, 0.6459).

The calculation puts the formation energy (no corrections) at -20.4 eV/f.u. The calculation puts the total energy at -4.050 eV/atom.



No. 11
Density functional theory data (PBE-GGA) for crystalline KLaPbCl2 at its relaxed geometry.

The structure belongs to space group P4/mmm (No. 123); the cell edges are 5.3223, 5.3223 and 6.9229 Å and the angles 90.00°, 90.00° and 90.00°. The distinct sites, in fractional coordinates, are K at (0.0000, 0.0000, 0.0000), La at (0.0000, 0.0000, 0.5000), Pb at (0.5000, 0.5000, 0.5000) and Cl at (0.0000, 0.5000, 0.0000).

The calculation puts the formation energy (no corrections) at -1.9 eV/f.u. The calculation puts the total energy at -3.065 eV/atom.



No. 12
Density functional theory data (PBE-GGA) for crystalline KLaPuCl6 at its relaxed geometry.

The structure belongs to space group P-31c (No. 163); the cell edges are 7.3697, 7.3697 and 13.6024 Å and the angles 90.00°, 90.00° and 120.00°. The distinct sites, in fractional coordinates, are K at (0.0000, 0.0000, 0.0000), La at (0.3333, 0.6667, 0.2500), Pu at (0.3333, 0.6667, 0.7500) and Cl at (0.0004, 0.3615, 0.1354).

The calculation puts the formation energy (no corrections) at -18.9 eV/f.u. The calculation puts the total energy at -5.588 eV/atom.



No. 13
Density functional theory data (PBE-GGA) for crystalline KRb2LaCl6 at its relaxed geometry.

The structure belongs to space group P2_1/c (No. 14); the cell edges are 7.8473, 8.2317 and 13.5307 Å and the angles 90.00°, 124.24° and 90.00°. The distinct sites, in fractional coordinates, are K at (0.0000, 0.0000, 0.0000), Rb at (0.2190, 0.0670, 0.7442), La at (0.5000, 0.0000, 0.5000), Cl at (0.1612, 0.1877, 0.4456), Cl at (0.2503, 0.7218, 0.4312) and Cl at (0.3843, 0.0489, 0.2654).

The calculation puts the formation energy (no corrections) at -21.7 eV/f.u. The calculation puts the total energy at -4.072 eV/atom.



No. 14
Density functional theory data (PBE-GGA) for crystalline KRb2LaCl6 at its relaxed geometry.

The structure belongs to space group Fm-3m (No. 225); the cell edges are 11.5471, 11.5471 and 11.5471 Å and the angles 90.00°, 90.00° and 90.00°. The distinct sites, in fractional coordinates, are K at (0.0000, 0.0000, 0.0000), Rb at (0.2500, 0.2500, 0.2500), La at (0.0000, 0.0000, 0.5000) and Cl at (0.0000, 0.0000, 0.2602).

The calculation puts the formation energy (no corrections) at -21.1 eV/f.u. The calculation puts the total energy at -4.016 eV/atom.



No. 15
Density functional theory data (PBE-GGA) for crystalline KLaRhCl at its relaxed geometry.

The structure belongs to space group Pm (No. 6); the cell edges are 3.8401, 3.8744 and 8.4601 Å and the angles 90.00°, 103.09° and 90.00°. The distinct sites, in fractional coordinates, are K at (0.0000, 0.0000, 0.0000), La at (0.2431, 0.5000, 0.4744), Rh at (0.6919, 0.0000, 0.3715) and Cl at (0.4126, 0.5000, 0.8251).

The calculation puts the formation energy (no corrections) at -4.1 eV/f.u. As for the offset from the most stable computed form: 0.012 eV per atom. The calculation puts the total energy at -4.825 eV/atom.



No. 16
Density functional theory data (PBE-GGA) for crystalline KLaRhCl at its relaxed geometry.

The structure belongs to space group Amm2 (No. 38); the cell edges are 6.4580, 5.9941 and 5.9630 Å and the angles 90.00°, 90.00° and 90.00°. The distinct sites, in fractional coordinates, are K at (0.0000, 0.0000, 0.0000), La at (0.5000, 0.0000, 0.5299), Rh at (0.5000, 0.0000, 0.9443) and Cl at (0.0000, 0.0000, 0.4991).

The calculation puts the formation energy (no corrections) at -4.0 eV/f.u. As for the offset from the most stable computed form: 0.041 eV per atom. The calculation puts the total energy at -4.795 eV/atom.



No. 17
Density functional theory data (PBE-GGA) for crystalline KLaRhCl at its relaxed geometry.

The structure belongs to space group Cm (No. 8); the cell edges are 7.2266, 4.1662 and 8.3904 Å and the angles 90.00°, 106.69° and 90.00°. The distinct sites, in fractional coordinates, are K at (0.0000, 0.0000, 0.0000), La at (0.1804, 0.0000, 0.5383), Rh at (0.0668, 0.5000, 0.6993) and Cl at (0.2574, 0.5000, 0.2710).

The calculation puts the formation energy (no corrections) at -4.0 eV/f.u. As for the offset from the most stable computed form: 0.038 eV per atom. The calculation puts the total energy at -4.799 eV/atom.



No. 18
Density functional theory data (PBE-GGA) for crystalline KLaRhCl at its relaxed geometry.

The structure belongs to space group R3m (No. 160, hexagonal axes); the cell edges are 4.1950, 4.1950 and 23.7489 Å and the angles 90.00°, 90.00° and 120.00°. The distinct sites, in fractional coordinates, are K at (0.0000, 0.0000, 0.0000), La at (0.0000, 0.0000, 0.4885), Rh at (0.0000, 0.0000, 0.7683) and Cl at (0.0000, 0.0000, 0.2447).

The calculation puts the formation energy (no corrections) at -4.0 eV/f.u. As for the offset from the most stable computed form: 0.027 eV per atom. The calculation puts the total energy at -4.809 eV/atom.



No. 19
Density functional theory data (PBE-GGA) for crystalline KLaRhCl at its relaxed geometry.

The structure belongs to space group Amm2 (No. 38); the cell edges are 3.6270, 3.8100 and 16.2740 Å and the angles 90.00°, 90.00° and 90.00°. The distinct sites, in fractional coordinates, are K at (0.0000, 0.0000, 0.0000), La at (0.0000, 0.0000, 0.7643), Rh at (0.5000, 0.0000, 0.3355) and Cl at (0.5000, 0.0000, 0.6115).

The calculation puts the formation energy (no corrections) at -4.1 eV/f.u. As for the offset from the most stable computed form: 0.000 eV per atom. The calculation puts the total energy at -4.837 eV/atom.



No. 20
Density functional theory data (PBE-GGA) for crystalline KLaRhCl at its relaxed geometry.

The structure belongs to space group Cm (No. 8); the cell edges are 16.9264, 3.8025 and 3.8052 Å and the angles 90.00°, 101.10° and 90.00°. The distinct sites, in fractional coordinates, are K at (0.0000, 0.0000, 0.0000), La at (0.2661, 0.5000, 0.7202), Rh at (0.3247, 0.0000, 0.2755) and Cl at (0.0927, 0.5000, 0.5796).

The calculation puts the formation energy (no corrections) at -4.1 eV/f.u. As for the offset from the most stable computed form: 0.015 eV per atom. The calculation puts the total energy at -4.822 eV/atom.



No. 21
Density functional theory data (PBE-GGA) for crystalline KLaSeCl at its relaxed geometry.

The structure belongs to space group R3m (No. 160, hexagonal axes); the cell edges are 4.2206, 4.2206 and 24.0192 Å and the angles 90.00°, 90.00° and 120.00°. The distinct sites, in fractional coordinates, are K at (0.0000, 0.0000, 0.0000), La at (0.0000, 0.0000, 0.8238), Se at (0.0000, 0.0000, 0.4188) and Cl at (0.0000, 0.0000, 0.2366).

The calculation puts the formation energy (no corrections) at -6.8 eV/f.u. The calculation puts the total energy at -4.536 eV/atom.



No. 22
Density functional theory data (PBE-GGA) for crystalline KLaSeCl2 at its relaxed geometry.

The structure belongs to space group P4/mmm (No. 123); the cell edges are 5.6356, 5.6356 and 5.7856 Å and the angles 90.00°, 90.00° and 90.00°. The distinct sites, in fractional coordinates, are K at (0.0000, 0.0000, 0.0000), La at (0.5000, 0.5000, 0.5000), Se at (0.5000, 0.5000, 0.0000) and Cl at (0.0000, 0.5000, 0.5000).

The calculation puts the formation energy (no corrections) at -9.8 eV/f.u. The calculation puts the total energy at -4.604 eV/atom.



No. 23
Density functional theory data (PBE-GGA) for crystalline KLaSn2Cl8 at its relaxed geometry.

The structure belongs to space group P-1 (No. 2); the cell edges are 6.5579, 6.9237 and 9.0904 Å and the angles 88.00°, 88.50° and 88.46°. The distinct sites, in fractional coordinates, are K at (0.0000, 0.0000, 0.0000), La at (0.0000, 0.0000, 0.5000), Sn at (0.4971, 0.4892, 0.2444), Cl at (0.2133, 0.8110, 0.2747), Cl at (0.2533, 0.8576, 0.7248), Cl at (0.2565, 0.3212, 0.4623) and Cl at (0.2858, 0.3540, 0.0385).

The calculation puts the formation energy (no corrections) at -19.4 eV/f.u. The calculation puts the total energy at -4.021 eV/atom.